1.
The following is a GGA-PBE calculation of a relaxed CdSnP14 crystal, from Alexandria via LeMat-Bulk.

```
CdSnP14
1.0
13.4712 0.0000 0.0000
0.0000 9.8628 0.0000
0.0000 0.0000 11.1039
Cd Sn P
4 4 56
Direct
0.1786 0.2500 0.0070
0.3214 0.7500 0.5070
0.6786 0.2500 0.4930
0.8214 0.7500 0.9930
0.1664 0.7500 0.9018
0.3336 0.2500 0.4018
0.6664 0.7500 0.5982
0.8336 0.2500 0.0982
0.0242 0.5759 0.1532
0.0242 0.9241 0.1532
0.0261 0.2500 0.1642
0.0467 0.7500 0.2777
0.0580 0.0817 0.2902
0.0580 0.4183 0.2902
0.0810 0.5777 0.5894
0.0810 0.9223 0.5894
0.0909 0.2500 0.6075
0.1367 0.0453 0.8656
0.1367 0.4547 0.8656
0.1708 0.7500 0.6566
0.1789 0.0761 0.6767
0.1789 0.4239 0.6767
0.3211 0.5761 0.1767
0.3211 0.9239 0.1767
0.3292 0.2500 0.1566
0.3633 0.5453 0.3656
0.3633 0.9547 0.3656
0.4091 0.7500 0.1075
0.4190 0.0777 0.0894
0.4190 0.4223 0.0894
0.4420 0.5817 0.7902
0.4420 0.9183 0.7902
0.4533 0.2500 0.7777
0.4739 0.7500 0.6642
0.4758 0.0759 0.6532
0.4758 0.4241 0.6532
0.5242 0.5759 0.3468
0.5242 0.9241 0.3468
0.5261 0.2500 0.3358
0.5467 0.7500 0.2223
0.5580 0.0817 0.2098
0.5580 0.4183 0.2098
0.5810 0.5777 0.9106
0.5810 0.9223 0.9106
0.5909 0.2500 0.8925
0.6367 0.0453 0.6344
0.6367 0.4547 0.6344
0.6708 0.7500 0.8434
0.6789 0.0761 0.8233
0.6789 0.4239 0.8233
0.8211 0.5761 0.3233
0.8211 0.9239 0.3233
0.8292 0.2500 0.3434
0.8633 0.5453 0.1344
0.8633 0.9547 0.1344
0.9091 0.7500 0.3925
0.9190 0.0777 0.4106
0.9190 0.4223 0.4106
0.9420 0.5817 0.7098
0.9420 0.9183 0.7098
0.9533 0.2500 0.7223
0.9739 0.7500 0.8358
0.9758 0.0759 0.8468
0.9758 0.4241 0.8468
```

Output
For the total energy, the calculation gives -325.369 eV/cell. The formation enthalpy at 0 K is -0.043 eV per atom.

2.
The following is a GGA-PBE calculation of a relaxed SrCdP2 crystal, from Alexandria via LeMat-Bulk.

```
SrCdP2
1.0
3.8413 0.0000 0.0000
0.0000 3.8413 0.0000
0.0000 0.0000 6.2118
Sr Cd P
1 1 2
Direct
0.0000 0.0000 0.0000
0.0000 0.0000 0.5000
0.5000 0.5000 0.3164
0.5000 0.5000 0.6836
```

Output
For the total energy, the calculation gives -14.219 eV/cell. The formation enthalpy at 0 K is -0.201 eV per atom.

3.
The following is a GGA-PBE calculation of a relaxed SrCdP2 crystal, from Alexandria via LeMat-Bulk.

```
SrCdP2
1.0
-2.5365 2.9900 3.2544
2.5365 -2.9900 3.2544
2.5365 2.9900 -3.2544
Sr Cd P
1 1 2
Direct
0.0000 0.0000 0.0000
0.5000 0.5000 0.0000
0.3296 0.8296 0.5000
0.6704 0.1704 0.5000
```

Output
For the total energy, the calculation gives -14.744 eV/cell. The formation enthalpy at 0 K is -0.332 eV per atom.